{
  "formula": "MgSiIN2",
  "functional": "PBE",
  "state": "optimized geometry",
  "space_group": "P4/mmm",
  "total_energy_ev_per_atom": -4.456,
  "e_above_lowest_polymorph_mev_per_atom": 0,
  "magmom_total_mub_per_cell": 0.47,
  "raw_formation_energy_ev_per_atom": 0.587,
  "lattice": [[3.692, 0.000, 0.000], [0.000, 3.692, 0.000], [0.000, 0.000, 6.088]],
  "species": ["N", "Mg", "I", "Si", "N"],
  "frac_coords": [[0.000, 0.500, 0.000], [0.500, 0.500, 0.500], [0.000, 0.000, 0.500], [0.000, 0.000, 0.000], [0.500, 0.000, 0.000]]
}